Record 1
## AcNpU (PBE)

Data for an optimized crystal structure of AcNpU.

Total DFT energy (no corrections) (Ry per atom): -0.593
Calculated volume (Å³ per atom): 31.99
Energy of formation (eV per formula unit): 3.95

Unit cell a=7.268 b=7.268 c=7.268 alpha=90.00 beta=90.00 gamma=90.00
Space group F-43m (No. 216)
One atom of each set of equivalent atoms:
Ac 0.000 0.000 0.000 [4 per cell]
Np 0.000 0.000 0.500 [4 per cell]
U 0.250 0.250 0.250 [4 per cell]

***

Record 2
## Mg2TcB (PBE)

Data for an optimized crystal structure of Mg2TcB.

Total DFT energy (no corrections) (Ry per atom): -0.324
Calculated volume (Å³ per atom): 13.47

Unit cell a=5.996 b=5.996 c=5.996 alpha=90.00 beta=90.00 gamma=90.00
Space group F-43m (No. 216)
One atom of each set of equivalent atoms:
Mg 0.000 0.000 0.000 [4 per cell]
Mg 0.250 0.250 0.250 [4 per cell]
Tc 0.250 0.250 0.750 [4 per cell]
B 0.000 0.000 0.500 [4 per cell]

***

Record 3
## ErBeRe (PBE)

Data for an optimized crystal structure of ErBeRe.

Total DFT energy (no corrections) (Ry per atom): -0.470
Calculated volume (Å³ per atom): 17.45

Unit cell a=5.938 b=5.938 c=5.938 alpha=90.00 beta=90.00 gamma=90.00
Space group F-43m (No. 216)
One atom of each set of equivalent atoms:
Er 0.000 0.000 0.000 [4 per cell]
Be 0.250 0.250 0.250 [4 per cell]
Re 0.000 0.000 0.500 [4 per cell]

***

Record 4
## TbHo2Cu4Si2Ge2 (PBE)

Data for an optimized crystal structure of TbHo2Cu4Si2Ge2.

Total DFT energy (no corrections) (Ry per atom): -0.373
Calculated volume (Å³ per atom): 17.15

Unit cell a=4.130 b=6.615 c=13.806 alpha=90.00 beta=90.00 gamma=90.00
Space group Immm (No. 71)
One atom of each set of equivalent atoms:
Tb 0.000 0.000 0.000 [2 per cell]
Ho 0.000 0.500 0.130 [4 per cell]
Cu 0.000 0.310 0.326 [8 per cell]
Si 0.000 0.000 0.217 [4 per cell]
Ge 0.000 0.192 0.500 [4 per cell]

***

Record 5
## ZnGa2Cu4Ni (PBE)

Data for an optimized crystal structure of ZnGa2Cu4Ni.

Total DFT energy (no corrections) (Ry per atom): -0.262
Calculated volume (Å³ per atom): 12.56

Unit cell a=4.135 b=4.135 c=5.876 alpha=90.00 beta=90.00 gamma=90.00
Space group P4/mmm (No. 123)
One atom of each set of equivalent atoms:
Zn 0.000 0.000 0.000 [1 per cell]
Ga 0.000 0.000 0.500 [1 per cell]
Ga 0.500 0.500 0.000 [1 per cell]
Cu 0.000 0.500 0.253 [4 per cell]
Ni 0.500 0.500 0.500 [1 per cell]

***

Record 6
## GdAlPO (PBE)

Data for an optimized crystal structure of GdAlPO.

Total DFT energy (no corrections) (Ry per atom): -0.471
Calculated volume (Å³ per atom): 15.41

Unit cell a=3.956 b=4.594 c=6.784 alpha=90.00 beta=90.00 gamma=90.00
Space group Pmc2_1 (No. 26)
One atom of each set of equivalent atoms:
Gd 0.000 0.170 0.000 [2 per cell]
Al 0.500 0.337 0.349 [2 per cell]
P 0.500 0.168 0.695 [2 per cell]
O 0.000 0.336 0.349 [2 per cell]

***

Record 7
## YLuGaTe3 (PBE)

Data for an optimized crystal structure of YLuGaTe3.

Total DFT energy (no corrections) (Ry per atom): -0.354
Calculated volume (Å³ per atom): 27.16

Unit cell a=4.121 b=15.226 c=10.388 alpha=90.00 beta=90.00 gamma=90.00
Space group Cmcm (No. 63)
One atom of each set of equivalent atoms:
Y 0.000 0.220 0.250 [4 per cell]
Lu 0.000 0.000 0.000 [4 per cell]
Ga 0.000 0.478 0.750 [4 per cell]
Te 0.000 0.123 0.750 [4 per cell]
Te 0.000 0.349 0.542 [8 per cell]

***

Record 8
## Ta2W (PBE)

Data for an optimized crystal structure of Ta2W.

Total DFT energy (no corrections) (Ry per atom): -0.894
Calculated volume (Å³ per atom): 18.21
Energy of formation (eV per formula unit): 0.17

Unit cell a=5.330 b=9.336 c=8.782 alpha=90.00 beta=90.00 gamma=90.00
Space group Cmcm (No. 63)
One atom of each set of equivalent atoms:
Ta 0.000 0.000 0.000 [4 per cell]
Ta 0.000 0.172 0.250 [4 per cell]
Ta 0.000 0.334 0.560 [8 per cell]
W 0.245 0.416 0.250 [8 per cell]

***

> What is the total DFT energy (no corrections) in the eighth record?

-0.894 Ry per atom

***

> Which of these has the highest total DFT energy (no corrections)?

ZnGa2Cu4Ni

***

> Look up the calculated volume of the eighth one.

18.21 Å³ per atom

***

> Which formula does entry 5 have?

ZnGa2Cu4Ni